Record 1
Computed, not measured: an optimized crystal structure of BaCa2Mg at the PBE level of DFT.

**Spin magnetization**: 0.00 μB/atom
**Density of states at the Fermi level**: 1.215 states/eV per atom
**Uncorrected energy**: -1.882 eV per atom
**ρ**: 2.4 g/cm3

Cell lengths 7.411, 7.411, 6.354 Å; angles 64.80, 64.80, 32.42 degrees
Fractional positions:
1 Mg 0.750 0.750 0.750
2 Ca 0.036 0.036 0.964
3 Ca 0.464 0.464 0.536
4 Ba 0.250 0.250 0.250

---

Record 2
Computed, not measured: an optimized crystal structure of ZrZn2Mo at the PBE level of DFT.

**Spin magnetization**: 0.00 μB/atom
**Density of states at the Fermi level**: 1.133 states/eV per atom
**Uncorrected energy**: -5.214 eV per atom
**ΔE to the lowest computed polymorph**: 0.361 eV per atom
**ρ**: 7.7 g/cm3

Cell lengths 4.593, 4.593, 4.593 Å; angles 60.00, 60.00, 60.00 degrees
Fractional positions:
1 Mo 0.500 0.500 0.500
2 Zn 0.000 0.000 0.000
3 Zn 0.750 0.750 0.750
4 Zr 0.250 0.250 0.250

---

Copy entry 1 word for word.
Computed, not measured: an optimized crystal structure of BaCa2Mg at the PBE level of DFT.

**Spin magnetization**: 0.00 μB/atom
**Density of states at the Fermi level**: 1.215 states/eV per atom
**Uncorrected energy**: -1.882 eV per atom
**ρ**: 2.4 g/cm3

Cell lengths 7.411, 7.411, 6.354 Å; angles 64.80, 64.80, 32.42 degrees
Fractional positions:
1 Mg 0.750 0.750 0.750
2 Ca 0.036 0.036 0.964
3 Ca 0.464 0.464 0.536
4 Ba 0.250 0.250 0.250